Here is a relaxed structure of SrCa2SnRh from Alexandria. Energies are from PBE.

a = 5.485 Å, b = 5.485 Å, c = 5.250 Å
α = 90.00°, β = 90.00°, γ = 90.00°
Positions (direct):
Ca 0.500 0.000 0.000
Ca 0.000 0.500 0.000
Rh 0.000 0.000 0.000
Sn 0.000 0.000 0.500
Sr 0.500 0.500 0.500

Output
Total energy = -3.81 eV/atom
Symmetry = P4/mmm (123)
Energy of formation = -406 meV per atom

Here is a relaxed structure of SrCaSn2Rh from Alexandria. Energies are from PBE.

a = 5.280 Å, b = 5.280 Å, c = 5.223 Å
α = 90.00°, β = 90.00°, γ = 90.00°
Positions (direct):
Sn 0.000 0.500 0.000
Sn 0.500 0.000 0.000
Sr 0.500 0.500 0.500
Rh 0.000 0.000 0.000
Ca 0.000 0.000 0.500

Output
Total energy = -4.24 eV/atom
Symmetry = P4/mmm (123)
Energy of formation = -433 meV per atom

Here is a relaxed structure of CaSnTeRh2 from Alexandria. Energies are from PBE.

a = 4.928 Å, b = 5.575 Å, c = 4.928 Å
α = 90.00°, β = 90.00°, γ = 90.00°
Positions (direct):
Sn 0.500 0.500 0.500
Rh 0.000 0.000 0.500
Rh 0.500 0.000 0.000
Ca 0.000 0.500 0.000
Te 0.000 0.000 0.000

Output
Total energy = -4.50 eV/atom
Symmetry = P4/mmm (123)
Formation energy (no corrections) = 0.270 eV per atom

Here is a relaxed structure of Ca2TlSn2Rh5 from Alexandria. Energies are from PBE.

a = 3.711 Å, b = 10.269 Å, c = 10.269 Å
α = 90.00°, β = 90.00°, γ = 90.00°
Positions (direct):
Rh 0.500 0.299 0.565
Rh 0.500 0.799 0.935
Rh 0.500 0.935 0.201
Rh 0.500 0.701 0.435
Rh 0.500 0.565 0.701
Rh 0.500 0.500 0.000
Rh 0.500 0.201 0.065
Rh 0.500 0.000 0.500
Rh 0.500 0.065 0.799
Rh 0.500 0.435 0.299
Ca 0.000 0.171 0.329
Ca 0.000 0.671 0.171
Ca 0.000 0.329 0.829
Ca 0.000 0.829 0.671
Sn 0.000 0.871 0.371
Sn 0.000 0.371 0.129
Sn 0.000 0.129 0.629
Sn 0.000 0.629 0.871
Tl 0.000 0.500 0.500
Tl 0.000 0.000 0.000

Output
Total energy = -5.50 eV/atom
Symmetry = P4/mbm (127)
Energy of formation = -390 meV per atom

Here is a relaxed structure of Ca2TlSnRh from Alexandria. Energies are from PBE.

a = 5.463 Å, b = 5.463 Å, c = 5.073 Å
α = 90.00°, β = 90.00°, γ = 90.00°
Positions (direct):
Rh 0.000 0.000 0.000
Tl 0.500 0.500 0.500
Sn 0.000 0.000 0.500
Ca 0.000 0.500 0.000
Ca 0.500 0.000 0.000

Output
Total energy = -3.95 eV/atom
Symmetry = P4/mmm (123)
Energy of formation = -402 meV per atom

Here is a relaxed structure of CaTm2SnRh4 from Alexandria. Energies are from PBE.

a = 4.723 Å, b = 4.723 Å, c = 8.206 Å
α = 73.28°, β = 73.28°, γ = 60.00°
Positions (direct):
Rh 0.128 0.128 0.616
Rh 0.379 0.379 0.862
Rh 0.621 0.621 0.138
Rh 0.872 0.872 0.384
Sn 0.500 0.500 0.500
Ca 0.000 0.000 0.000
Tm 0.752 0.752 0.744
Tm 0.248 0.248 0.256

Output
Total energy = -6.30 eV/atom
Symmetry = R-3m (166)
Energy of formation = -755 meV per atom

Here is a relaxed structure of Ca2TmSn3Rh4 from Alexandria. Energies are from PBE.

a = 4.423 Å, b = 4.423 Å, c = 11.357 Å
α = 90.00°, β = 90.00°, γ = 90.00°
Positions (direct):
Ca 0.500 0.000 0.229
Ca 0.000 0.500 0.771
Rh 0.000 0.500 0.357
Rh 0.500 0.500 0.000
Rh 0.500 0.000 0.643
Rh 0.000 0.000 0.000
Sn 0.000 0.000 0.500
Sn 0.000 0.500 0.126
Sn 0.500 0.000 0.874
Tm 0.500 0.500 0.500

Output
Total energy = -5.68 eV/atom
Symmetry = P-4m2 (115)
Energy of formation = -693 meV per atom

Here is a relaxed structure of Ca2ZnSn3Rh4 from Alexandria. Energies are from PBE.

a = 4.391 Å, b = 4.391 Å, c = 10.875 Å
α = 90.00°, β = 90.00°, γ = 90.00°
Positions (direct):
Ca 0.500 0.000 0.252
Ca 0.000 0.500 0.748
Sn 0.500 0.000 0.868
Sn 0.000 0.000 0.500
Sn 0.000 0.500 0.132
Rh 0.500 0.500 0.000
Rh 0.500 0.000 0.630
Rh 0.000 0.500 0.370
Rh 0.000 0.000 0.000
Zn 0.500 0.500 0.500

Output
Total energy = -5.26 eV/atom
Symmetry = P-4m2 (115)
Energy of formation = -589 meV per atom

Here is a relaxed structure of Ca2ZnSn2Rh5 from Alexandria. Energies are from PBE.

a = 3.402 Å, b = 10.471 Å, c = 10.471 Å
α = 90.00°, β = 90.00°, γ = 90.00°
Positions (direct):
Rh 0.500 0.187 0.061
Rh 0.500 0.687 0.439
Rh 0.500 0.500 0.000
Rh 0.500 0.439 0.313
Rh 0.500 0.000 0.500
Rh 0.500 0.561 0.687
Rh 0.500 0.313 0.561
Rh 0.500 0.939 0.187
Rh 0.500 0.813 0.939
Rh 0.500 0.061 0.813
Sn 0.000 0.635 0.865
Sn 0.000 0.135 0.635
Sn 0.000 0.865 0.365
Sn 0.000 0.365 0.135
Ca 0.000 0.333 0.833
Ca 0.000 0.833 0.667
Ca 0.000 0.667 0.167
Ca 0.000 0.167 0.333
Zn 0.000 0.000 0.000
Zn 0.000 0.500 0.500

Output
Total energy = -5.41 eV/atom
Symmetry = P4/mbm (127)
Energy of formation = -403 meV per atom

Here is a relaxed structure of CaZnSn2Rh2 from Alexandria. Energies are from PBE.

a = 4.725 Å, b = 4.725 Å, c = 5.876 Å
α = 90.00°, β = 90.00°, γ = 90.00°
Positions (direct):
Sn 0.500 0.500 0.745
Sn 0.500 0.500 0.255
Rh 0.000 0.500 0.000
Rh 0.500 0.000 0.000
Ca 0.000 0.000 0.500
Zn 0.000 0.000 0.000

Output
Total energy = -4.68 eV/atom
Symmetry = P4/mmm (123)
Energy of formation = -351 meV per atom

Here is a relaxed structure of SrCaRh from Alexandria. Energies are from PBE.

a = 4.455 Å, b = 8.216 Å, c = 14.182 Å
α = 90.00°, β = 90.00°, γ = 90.00°
Positions (direct):
Rh 0.000 0.446 0.750
Rh 0.000 0.554 0.250
Rh 0.500 0.054 0.092
Rh 0.500 0.054 0.408
Rh 0.500 0.946 0.592
Rh 0.500 0.946 0.908
Ca 0.500 0.421 0.130
Ca 0.500 0.801 0.250
Ca 0.500 0.199 0.750
Ca 0.500 0.579 0.870
Ca 0.500 0.579 0.630
Ca 0.500 0.421 0.370
Sr 0.000 0.797 0.044
Sr 0.000 0.203 0.956
Sr 0.000 0.797 0.456
Sr 0.000 0.859 0.750
Sr 0.000 0.141 0.250
Sr 0.000 0.203 0.544

Output
Relative energy among the computed polymorphs = 0 meV/atom
Total energy = -3.95 eV/atom
Symmetry = Pmma (51)
Energy of formation = -276 meV per atom

Here is a relaxed structure of Sr2CaRh from Alexandria. Energies are from PBE.

a = 10.727 Å, b = 10.727 Å, c = 8.093 Å
α = 48.49°, β = 48.49°, γ = 90.00°
Positions (direct):
Ca 0.500 0.500 0.000
Ca 0.250 0.750 0.500
Sr 0.375 0.233 0.750
Sr 0.983 0.625 0.250
Sr 0.875 0.017 0.750
Sr 0.767 0.125 0.250
Rh 0.000 0.000 0.000
Rh 0.750 0.250 0.500

Output
Relative energy among the computed polymorphs = 188 meV/atom
Total energy = -3.22 eV/atom
Symmetry = I-42d (122)
Energy of formation = -43 meV per atom